DFT (PBE+U) results for a relaxed Fe2CoO6 crystal.

DOS at the Fermi energy   7.0 states/eV/cell
Energy   -6.00 eV per atom
Spin magnetization   18.9 Bohr magnetons per cell
Energy above the lowest structure with this stoichiometry   0 meV/atom

Cell lengths 4.4800, 4.4800, 8.9435 Å; angles 90.00, 90.00, 90.00 degrees
Fractional positions:
Fe  0.0000  0.0000  0.1667
Fe  0.0000  0.0000  0.8333
Fe  0.5000  0.5000  0.3333
Fe  0.5000  0.5000  0.6667
Co  0.0000  0.0000  0.5000
Co  0.5000  0.5000  0.0000
O  0.1890  0.1890  0.3367
O  0.1890  0.1890  0.6633
O  0.2027  0.2027  0.0000
O  0.2973  0.7027  0.5000
O  0.3110  0.6890  0.1633
O  0.3110  0.6890  0.8367
O  0.6890  0.3110  0.1633
O  0.6890  0.3110  0.8367
O  0.7027  0.2973  0.5000
O  0.7973  0.7973  0.0000
O  0.8110  0.8110  0.3367
O  0.8110  0.8110  0.6633